DFT (PBE+U) results for a relaxed BaNdCr2O8 crystal.

a = 5.7653 Å, b = 5.7653 Å, c = 7.8002 Å
α = 90.00°, β = 90.00°, γ = 120.00°
Last column: nearest neighbours and their distance in Å.
Positions (direct):
Ba (0.0000, 0.0000, 0.0000)  6 O 2.86
Nd (0.0000, 0.0000, 0.5000)  6 O 2.35
Cr (0.6667, 0.3333, 0.2229)  4 O 1.65-1.71
Cr (0.3333, 0.6667, 0.7771)  4 O 1.65-1.71
O (0.3333, 0.6667, 0.9890)  1 Cr 1.65
O (0.3436, 0.1727, 0.2938)  1 Cr 1.71
O (0.8273, 0.1709, 0.2938)  1 Cr 1.71
O (0.6667, 0.3333, 0.0110)  1 Cr 1.65
O (0.1727, 0.8291, 0.7062)  1 Cr 1.71
O (0.6564, 0.8273, 0.7062)  1 Cr 1.71
O (0.1709, 0.3436, 0.7062)  1 Cr 1.71
O (0.8291, 0.6564, 0.2938)  1 Cr 1.71

Mass density = 3.80 Mg/m³
Symmetry = P-3
Total energy = -86.002 eV for the cell shown